[1]
The following is a GGA-PBE calculation of an optimized crystal structure of SrCdOs2N, from the Alexandria database.

a = 5.301 Å, b = 5.301 Å, c = 4.417 Å
α = 90.00°, β = 90.00°, γ = 90.00°
Fractional coordinates of all 5 atoms:
Sr  0.000  0.000  0.000
Cd  0.500  0.500  0.500
Os  0.000  0.500  0.000
Os  0.500  0.000  0.000
N  0.000  0.000  0.500

## Properties
Space group   No. 123
N(E_F)   5.9 states/eV/cell
Total magnetization   1.29 μB/atom
Formation energy from raw total energies   3050 meV per atom

[2]
The following is a GGA-PBE calculation of an optimized crystal structure of Pm2AgSb3Rh4, from the Alexandria database.

a = 4.329 Å, b = 4.329 Å, c = 11.210 Å
α = 90.00°, β = 90.00°, γ = 90.00°
Fractional coordinates of all 10 atoms:
Pm  0.000  0.500  0.240
Pm  0.500  0.000  0.760
Ag  0.500  0.500  0.000
Sb  0.000  0.000  0.000
Sb  0.000  0.500  0.633
Sb  0.500  0.000  0.367
Rh  0.000  0.000  0.500
Rh  0.000  0.500  0.858
Rh  0.500  0.000  0.142
Rh  0.500  0.500  0.500

## Properties
Space group   No. 115
N(E_F)   4.9 states/eV/cell
Total magnetization   0.00 μB/atom
Formation energy from raw total energies   -694 meV per atom

[3]
The following is a GGA-PBE calculation of an optimized crystal structure of PmPaBiN2, from the Alexandria database.

a = 7.426 Å, b = 7.426 Å, c = 7.426 Å
α = 148.82°, β = 148.82°, γ = 44.67°
Fractional coordinates of all 5 atoms:
Pm  0.000  0.000  0.000
Pa  0.339  0.339  0.000
Bi  0.669  0.669  0.000
N  0.406  0.906  0.500
N  0.906  0.406  0.500

## Properties
Space group   No. 107
N(E_F)   2.2 states/eV/cell
Total magnetization   0.00 μB/atom
Formation energy from raw total energies   -1397 meV per atom

[4]
The following is a GGA-PBE calculation of an optimized crystal structure of Nb4CSe5, from the Alexandria database.

a = 8.211 Å, b = 8.211 Å, c = 7.283 Å
α = 102.60°, β = 102.60°, γ = 24.25°
Fractional coordinates of all 10 atoms:
Nb  0.002  0.002  0.297
Nb  0.364  0.364  0.431
Nb  0.636  0.636  0.569
Nb  0.998  0.998  0.703
C  0.500  0.500  0.500
Se  0.162  0.162  0.843
Se  0.171  0.171  0.326
Se  0.500  0.500  0.000
Se  0.829  0.829  0.674
Se  0.838  0.838  0.157

## Properties
Space group   No. 12
N(E_F)   3.2 states/eV/cell
Total magnetization   0.00 μB/atom
Formation energy from raw total energies   -795 meV per atom

[5]
The following is a GGA-PBE calculation of an optimized crystal structure of Te2IrI, from the Alexandria database.

a = 7.568 Å, b = 9.703 Å, c = 6.462 Å
α = 90.00°, β = 90.00°, γ = 90.00°
Fractional coordinates of all 16 atoms:
Te  0.001  0.078  0.000
Te  0.219  0.270  0.632
Te  0.281  0.770  0.132
Te  0.499  0.578  0.500
Te  0.501  0.422  0.000
Te  0.719  0.230  0.632
Te  0.781  0.730  0.132
Te  0.999  0.922  0.500
Ir  0.023  0.823  0.885
Ir  0.477  0.323  0.385
Ir  0.523  0.677  0.885
Ir  0.977  0.177  0.385
I  0.016  0.589  0.652
I  0.484  0.089  0.152
I  0.516  0.911  0.652
I  0.984  0.411  0.152

## Properties
Space group   No. 33
N(E_F)   7.6 states/eV/cell
Total magnetization   0.00 μB/atom
Formation energy from raw total energies   66 meV per atom

[6]
The following is a GGA-PBE calculation of an optimized crystal structure of SiTeMo, from the Alexandria database.

a = 3.240 Å, b = 3.240 Å, c = 5.669 Å
α = 90.00°, β = 90.00°, γ = 90.00°
Fractional coordinates of all 3 atoms:
Si  0.000  0.000  0.000
Te  0.000  0.000  0.482
Mo  0.500  0.500  0.782

## Properties
Space group   No. 99
N(E_F)   1.2 states/eV/cell
Total magnetization   0.00 μB/atom
Formation energy from raw total energies   142 meV per atom